A) The following is a PBE-GGA calculation of crystalline CoTe2SI at its relaxed geometry, from Alexandria via LeMat-Bulk.

a = 4.9847 Å, b = 4.9847 Å, c = 5.1201 Å
α = 90.00°, β = 90.00°, γ = 90.00°
Closest atoms and distances in Å follow each position.
Space group P4/mmm (No. 123)
Asymmetric unit:
Co: 0.0000 0.0000 0.0000 [1 per cell]  4 Te 2.49, 2 I 2.56
Te: 0.0000 0.5000 0.0000 [2 per cell]  2 Co 2.49
S: 0.5000 0.5000 0.5000 [1 per cell]  4 I 3.52, 8 Te 3.57
I: 0.0000 0.0000 0.5000 [1 per cell]  2 Co 2.56

Size of the total moment, μB/atom: 0.0000

B) The following is a PBE-GGA calculation of crystalline CoTe2SI at its relaxed geometry, from Alexandria via LeMat-Bulk.

a = 5.2457 Å, b = 5.2457 Å, c = 5.5026 Å
α = 90.00°, β = 90.00°, γ = 90.00°
Closest atoms and distances in Å follow each position.
Space group P4/mmm (No. 123)
Asymmetric unit:
Co: 0.0000 0.0000 0.0000 [1 per cell]  4 I 3.71, 8 Te 3.80
Te: 0.0000 0.5000 0.5000 [2 per cell]  2 S 2.62
S: 0.5000 0.5000 0.5000 [1 per cell]  4 Te 2.62, 2 I 2.75
I: 0.5000 0.5000 0.0000 [1 per cell]  2 S 2.75

Size of the total moment, μB/atom: 0.6027

Which of them is the most stable? Correct choice: A).

A) The following is a PBE-GGA calculation of crystalline CoTeSI2 at its relaxed geometry, from Alexandria via LeMat-Bulk.

a = 5.1850 Å, b = 5.1850 Å, c = 4.9301 Å
α = 90.00°, β = 90.00°, γ = 90.00°
Closest atoms and distances in Å follow each position.
Space group P4/mmm (No. 123)
Asymmetric unit:
Co: 0.0000 0.0000 0.0000 [1 per cell]  2 Te 2.47, 4 I 2.59
Te: 0.0000 0.0000 0.5000 [1 per cell]  2 Co 2.47
S: 0.5000 0.5000 0.5000 [1 per cell]  8 I 3.58, 4 Te 3.67
I: 0.0000 0.5000 0.0000 [2 per cell]  2 Co 2.59

Size of the total moment, μB/atom: 0.0001

B) The following is a PBE-GGA calculation of crystalline CoTeSI2 at its relaxed geometry, from Alexandria via LeMat-Bulk.

a = 5.4353 Å, b = 5.4353 Å, c = 5.4303 Å
α = 90.00°, β = 90.00°, γ = 90.00°
Closest atoms and distances in Å follow each position.
Space group P4/mmm (No. 123)
Asymmetric unit:
Co: 0.0000 0.0000 0.0000 [1 per cell]  8 I 3.84, 4 Te 3.84
Te: 0.5000 0.5000 0.0000 [1 per cell]  2 S 2.72
S: 0.5000 0.5000 0.5000 [1 per cell]  2 Te 2.72, 4 I 2.72
I: 0.0000 0.5000 0.5000 [2 per cell]  2 S 2.72

Size of the total moment, μB/atom: 0.5142

Which of them is the most stable? Correct choice: A).